Material: ScHg7
Method: DFT, PBE-GGA
State: relaxed

E = -1.102 eV/atom
SG = Fm-3m, No. 225
M_tot = 0.0 μB per formula unit

```
data_ScHg7
_symmetry_space_group_name_H-M 'P 1'
_symmetry_Int_Tables_number 1
_cell_length_a 6.497
_cell_length_b 6.497
_cell_length_c 6.497
_cell_angle_alpha 60.00
_cell_angle_beta 60.00
_cell_angle_gamma 60.00
loop_
_symmetry_equiv_pos_as_xyz
'x,y,z'
loop_
_atom_site_label
_atom_site_type_symbol
_atom_site_fract_x
_atom_site_fract_y
_atom_site_fract_z
_atom_site_occupancy
Hg1 Hg 0.000 0.500 0.000 1
Hg2 Hg 0.000 0.500 0.500 1
Hg3 Hg 0.500 0.500 0.000 1
Hg4 Hg 0.500 0.000 0.500 1
Hg5 Hg 0.500 0.000 0.000 1
Hg6 Hg 0.000 0.000 0.500 1
Hg7 Hg 0.500 0.500 0.500 1
Sc1 Sc 0.000 0.000 0.000 1
```

***

Material: ScHg3
Method: DFT, PBE-GGA
State: relaxed

E = -1.978 eV/atom
SG = C2/m, No. 12
M_tot = 0.0 μB per formula unit

```
data_ScHg3
_symmetry_space_group_name_H-M 'P 1'
_symmetry_Int_Tables_number 1
_cell_length_a 3.490
_cell_length_b 5.269
_cell_length_c 5.494
_cell_angle_alpha 104.03
_cell_angle_beta 90.00
_cell_angle_gamma 109.34
loop_
_symmetry_equiv_pos_as_xyz
'x,y,z'
loop_
_atom_site_label
_atom_site_type_symbol
_atom_site_fract_x
_atom_site_fract_y
_atom_site_fract_z
_atom_site_occupancy
Sc1 Sc 0.750 0.500 0.250 1
Hg1 Hg 0.006 0.012 0.011 1
Hg2 Hg 0.494 0.988 0.489 1
Hg3 Hg 0.250 0.500 0.750 1
```

***

Material: ScHg5
Method: DFT, PBE-GGA
State: relaxed

E = -1.413 eV/atom
SG = Cm, No. 8
M_tot = 0.0 μB per formula unit

```
data_ScHg5
_symmetry_space_group_name_H-M 'P 1'
_symmetry_Int_Tables_number 1
_cell_length_a 3.668
_cell_length_b 6.191
_cell_length_c 6.971
_cell_angle_alpha 71.25
_cell_angle_beta 90.00
_cell_angle_gamma 107.23
loop_
_symmetry_equiv_pos_as_xyz
'x,y,z'
loop_
_atom_site_label
_atom_site_type_symbol
_atom_site_fract_x
_atom_site_fract_y
_atom_site_fract_z
_atom_site_occupancy
Hg1 Hg 0.038 0.077 0.956 1
Hg2 Hg 0.367 0.735 0.786 1
Hg3 Hg 0.694 0.389 0.615 1
Hg4 Hg 0.024 0.049 0.432 1
Hg5 Hg 0.347 0.693 0.270 1
Sc1 Sc 0.695 0.391 0.107 1
```

***

Material: Sc2Hg3
Method: DFT, PBE-GGA
State: relaxed

E = -3.040 eV/atom
SG = I4/mmm, No. 139
M_tot = 0.4 μB per formula unit
E above lowest polymorph = 0 meV/atom

```
data_Sc2Hg3
_symmetry_space_group_name_H-M 'P 1'
_symmetry_Int_Tables_number 1
_cell_length_a 3.589
_cell_length_b 3.589
_cell_length_c 8.899
_cell_angle_alpha 101.64
_cell_angle_beta 101.64
_cell_angle_gamma 90.00
loop_
_symmetry_equiv_pos_as_xyz
'x,y,z'
loop_
_atom_site_label
_atom_site_type_symbol
_atom_site_fract_x
_atom_site_fract_y
_atom_site_fract_z
_atom_site_occupancy
Sc1 Sc 0.399 0.399 0.797 1
Sc2 Sc 0.601 0.601 0.203 1
Hg1 Hg 0.000 0.000 0.000 1
Hg2 Hg 0.198 0.198 0.396 1
Hg3 Hg 0.802 0.802 0.604 1
```

***

Material: Sc4Hg3
Method: DFT, PBE-GGA
State: relaxed

E = -3.866 eV/atom
SG = P6/mmm, No. 191
M_tot = 0.6 μB per formula unit
E above lowest polymorph = 142 meV/atom

```
data_Sc4Hg3
_symmetry_space_group_name_H-M 'P 1'
_symmetry_Int_Tables_number 1
_cell_length_a 5.805
_cell_length_b 5.805
_cell_length_c 5.495
_cell_angle_alpha 90.00
_cell_angle_beta 90.00
_cell_angle_gamma 120.00
loop_
_symmetry_equiv_pos_as_xyz
'x,y,z'
loop_
_atom_site_label
_atom_site_type_symbol
_atom_site_fract_x
_atom_site_fract_y
_atom_site_fract_z
_atom_site_occupancy
Sc1 Sc 0.000 0.000 0.253 1
Sc2 Sc 0.000 0.000 0.747 1
Sc3 Sc 0.667 0.333 0.500 1
Sc4 Sc 0.333 0.667 0.500 1
Hg1 Hg 0.000 0.500 0.000 1
Hg2 Hg 0.500 0.500 0.000 1
Hg3 Hg 0.500 0.000 0.000 1
```

***

Material: Sc3Hg
Method: DFT, PBE-GGA
State: relaxed

E = -5.010 eV/atom
SG = Pmmn, No. 59
M_tot = 0.2 μB per formula unit

```
data_Sc3Hg
_symmetry_space_group_name_H-M 'P 1'
_symmetry_Int_Tables_number 1
_cell_length_a 6.210
_cell_length_b 5.030
_cell_length_c 5.769
_cell_angle_alpha 90.00
_cell_angle_beta 90.00
_cell_angle_gamma 90.00
loop_
_symmetry_equiv_pos_as_xyz
'x,y,z'
loop_
_atom_site_label
_atom_site_type_symbol
_atom_site_fract_x
_atom_site_fract_y
_atom_site_fract_z
_atom_site_occupancy
Hg1 Hg 0.000 0.000 0.664 1
Hg2 Hg 0.500 0.500 0.336 1
Sc1 Sc 0.000 0.500 0.371 1
Sc2 Sc 0.255 0.000 0.149 1
Sc3 Sc 0.245 0.500 0.851 1
Sc4 Sc 0.500 0.000 0.629 1
Sc5 Sc 0.745 0.000 0.149 1
Sc6 Sc 0.755 0.500 0.851 1
```

***

Material: ScHg3
Method: DFT, PBE-GGA
State: relaxed

E = -1.942 eV/atom
SG = P2/m, No. 10
M_tot = 0.0 μB per formula unit

```
data_ScHg3
_symmetry_space_group_name_H-M 'P 1'
_symmetry_Int_Tables_number 1
_cell_length_a 3.512
_cell_length_b 5.147
_cell_length_c 5.209
_cell_angle_alpha 90.00
_cell_angle_beta 89.11
_cell_angle_gamma 90.00
loop_
_symmetry_equiv_pos_as_xyz
'x,y,z'
loop_
_atom_site_label
_atom_site_type_symbol
_atom_site_fract_x
_atom_site_fract_y
_atom_site_fract_z
_atom_site_occupancy
Hg1 Hg 0.008 0.000 0.994 1
Hg2 Hg 0.492 0.000 0.506 1
Hg3 Hg 0.250 0.500 0.250 1
Sc1 Sc 0.750 0.500 0.750 1
```

***

Material: Sc3Hg5
Method: DFT, PBE-GGA
State: relaxed

E = -2.887 eV/atom
SG = Cmmm, No. 65
M_tot = 0.0 μB per formula unit
E above lowest polymorph = 9 meV/atom

```
data_Sc3Hg5
_symmetry_space_group_name_H-M 'P 1'
_symmetry_Int_Tables_number 1
_cell_length_a 6.148
_cell_length_b 6.148
_cell_length_c 4.840
_cell_angle_alpha 90.00
_cell_angle_beta 90.00
_cell_angle_gamma 74.63
loop_
_symmetry_equiv_pos_as_xyz
'x,y,z'
loop_
_atom_site_label
_atom_site_type_symbol
_atom_site_fract_x
_atom_site_fract_y
_atom_site_fract_z
_atom_site_occupancy
Hg1 Hg 0.000 0.000 0.000 1
Hg2 Hg 0.000 0.500 0.000 1
Hg3 Hg 0.500 0.000 0.000 1
Hg4 Hg 0.724 0.276 0.500 1
Hg5 Hg 0.276 0.724 0.500 1
Sc1 Sc 0.500 0.500 0.000 1
Sc2 Sc 0.225 0.225 0.500 1
Sc3 Sc 0.775 0.775 0.500 1
```